[1]
This record from Alexandria describes a relaxed structure of LiFeAu. The functional is PBE-GGA.

- ΔE_f (eV/atom) = 0.01

Geometry as CIF:
```
data_LiFeAu
_chemical_formula_sum 'Li2 Fe2 Au2'
_cell_length_a 2.6899
_cell_length_b 4.0499
_cell_length_c 8.0170
_cell_angle_alpha 90.00
_cell_angle_beta 90.00
_cell_angle_gamma 90.00
_space_group_name_H-M_alt 'I m m 2'
_space_group_IT_number 44
loop_
_space_group_symop_operation_xyz
'x,y,z'
'-x,-y,z'
'-x,y,z'
'x,-y,z'
'x+1/2,y+1/2,z+1/2'
'-x+1/2,-y+1/2,z+1/2'
'-x+1/2,y+1/2,z+1/2'
'x+1/2,-y+1/2,z+1/2'
loop_
_atom_site_label
_atom_site_type_symbol
_atom_site_fract_x
_atom_site_fract_y
_atom_site_fract_z
Li1 Li 0.0000 0.0000 0.0000
Fe1 Fe 0.0000 0.0000 0.3281
Au1 Au 0.0000 0.0000 0.6656
```


[2]
This record from Alexandria describes a relaxed structure of MgCdCu. The functional is PBE-GGA.

- ΔE_f (eV/atom) = -0.01
- energy above the most stable polymorph in this dataset (eV/atom) = 0.051

Geometry as CIF:
```
data_MgCdCu
_chemical_formula_sum 'Mg1 Cd1 Cu1'
_cell_length_a 4.5774
_cell_length_b 4.5774
_cell_length_c 3.0153
_cell_angle_alpha 90.00
_cell_angle_beta 90.00
_cell_angle_gamma 120.00
_space_group_name_H-M_alt 'P 3 m 1'
_space_group_IT_number 156
loop_
_space_group_symop_operation_xyz
'x,y,z'
'-y,x-y,z'
'-x+y,-x,z'
'-y,-x,z'
'-x+y,y,z'
'x,x-y,z'
loop_
_atom_site_label
_atom_site_type_symbol
_atom_site_fract_x
_atom_site_fract_y
_atom_site_fract_z
Mg1 Mg 0.0000 0.0000 0.0000
Cd1 Cd 0.6667 0.3333 0.4970
Cu1 Cu 0.3333 0.6667 0.5090
```


[3]
This record from Alexandria describes a relaxed structure of ZnReAg2P. The functional is PBE-GGA.

- ΔE_f (eV/atom) = 1.46

Geometry as CIF:
```
data_ZnReAg2P
_chemical_formula_sum 'Zn1 Re1 Ag2 P1'
_cell_length_a 4.6610
_cell_length_b 4.6610
_cell_length_c 4.8187
_cell_angle_alpha 90.00
_cell_angle_beta 90.00
_cell_angle_gamma 90.00
_space_group_name_H-M_alt 'P 4/m m m'
_space_group_IT_number 123
_space_group_name_Hall '-P 4 2'
loop_
_atom_site_label
_atom_site_type_symbol
_atom_site_fract_x
_atom_site_fract_y
_atom_site_fract_z
Zn1 Zn 0.0000 0.0000 0.0000
Re1 Re 0.0000 0.0000 0.5000
Ag1 Ag 0.0000 0.5000 0.0000
P1 P 0.5000 0.5000 0.5000
```


[4]
This record from Alexandria describes a relaxed structure of PmPuAs2. The functional is PBE-GGA.

- ΔE_f (eV/atom) = -0.94
- energy above the most stable polymorph in this dataset (eV/atom) = 0.332

Geometry as CIF:
```
data_PmPuAs2
_chemical_formula_sum 'Pm1 Pu1 As2'
_cell_length_a 3.5919
_cell_length_b 3.5919
_cell_length_c 7.2438
_cell_angle_alpha 90.00
_cell_angle_beta 90.00
_cell_angle_gamma 90.00
_space_group_name_H-M_alt 'P 4/m m m'
_space_group_IT_number 123
_space_group_name_Hall '-P 4 2'
loop_
_atom_site_label
_atom_site_type_symbol
_atom_site_fract_x
_atom_site_fract_y
_atom_site_fract_z
Pm1 Pm 0.0000 0.0000 0.0000
Pu1 Pu 0.0000 0.0000 0.5000
As1 As 0.5000 0.5000 0.2564
```


[5]
This record from Alexandria describes a relaxed structure of TbZr3Sc7. The functional is PBE-GGA.

- ΔE_f (eV/atom) = 0.25

Geometry as CIF:
```
data_TbZr3Sc7
_chemical_formula_sum 'Tb1 Zr3 Sc7'
_cell_length_a 6.4672
_cell_length_b 6.4672
_cell_length_c 7.7986
_cell_angle_alpha 90.00
_cell_angle_beta 90.00
_cell_angle_gamma 120.00
_space_group_name_H-M_alt 'P 3 m 1'
_space_group_IT_number 156
loop_
_space_group_symop_operation_xyz
'x,y,z'
'-y,x-y,z'
'-x+y,-x,z'
'-y,-x,z'
'-x+y,y,z'
'x,x-y,z'
loop_
_atom_site_label
_atom_site_type_symbol
_atom_site_fract_x
_atom_site_fract_y
_atom_site_fract_z
Tb1 Tb 0.0000 0.0000 0.0000
Zr1 Zr 0.1686 0.3372 0.3428
Sc1 Sc 0.0021 0.5011 0.0159
Sc2 Sc 0.3333 0.6667 0.6725
Sc3 Sc 0.3339 0.1669 0.6591
```


[6]
This record from Alexandria describes a relaxed structure of ZnIN2O. The functional is PBE-GGA.

- formation energy from raw total energies (meV per atom) = 1693

Geometry as CIF:
```
data_ZnIN2O
_chemical_formula_sum 'Zn1 I1 N2 O1'
_cell_length_a 3.7305
_cell_length_b 3.7305
_cell_length_c 6.8709
_cell_angle_alpha 90.00
_cell_angle_beta 90.00
_cell_angle_gamma 90.00
_space_group_name_H-M_alt 'P 4/m m m'
_space_group_IT_number 123
_space_group_name_Hall '-P 4 2'
loop_
_atom_site_label
_atom_site_type_symbol
_atom_site_fract_x
_atom_site_fract_y
_atom_site_fract_z
Zn1 Zn 0.0000 0.0000 0.0000
I1 I 0.0000 0.0000 0.5000
N1 N 0.0000 0.5000 0.0000
O1 O 0.5000 0.5000 0.5000
```


[7]
This record from Alexandria describes a relaxed structure of NaHg2Sb. The functional is PBE-GGA.

- formation energy from raw total energies (meV per atom) = -103

Geometry as CIF:
```
data_NaHg2Sb
_chemical_formula_sum 'Na1 Hg2 Sb1'
_cell_length_a 4.7332
_cell_length_b 4.7332
_cell_length_c 4.4828
_cell_angle_alpha 90.00
_cell_angle_beta 90.00
_cell_angle_gamma 90.00
_space_group_name_H-M_alt 'P 4/m m m'
_space_group_IT_number 123
_space_group_name_Hall '-P 4 2'
loop_
_atom_site_label
_atom_site_type_symbol
_atom_site_fract_x
_atom_site_fract_y
_atom_site_fract_z
Na1 Na 0.0000 0.0000 0.0000
Hg1 Hg 0.0000 0.5000 0.5000
Sb1 Sb 0.5000 0.5000 0.0000
```


[8]
This record from Alexandria describes a relaxed structure of PmPuHgAu. The functional is PBE-GGA.

- ΔE_f (eV/atom) = -0.44
- energy above the most stable polymorph in this dataset (eV/atom) = 0.000

Geometry as CIF:
```
data_PmPuHgAu
_chemical_formula_sum 'Pm1 Pu1 Hg1 Au1'
_cell_length_a 3.6926
_cell_length_b 3.6926
_cell_length_c 7.5900
_cell_angle_alpha 90.00
_cell_angle_beta 90.00
_cell_angle_gamma 90.00
_space_group_name_H-M_alt 'P 4 m m'
_space_group_IT_number 99
loop_
_space_group_symop_operation_xyz
'x,y,z'
'-y,x,z'
'-x,-y,z'
'y,-x,z'
'-x,y,z'
'y,x,z'
'x,-y,z'
'-y,-x,z'
loop_
_atom_site_label
_atom_site_type_symbol
_atom_site_fract_x
_atom_site_fract_y
_atom_site_fract_z
Pm1 Pm 0.0000 0.0000 0.0000
Pu1 Pu 0.0000 0.0000 0.5286
Hg1 Hg 0.5000 0.5000 0.2644
Au1 Au 0.5000 0.5000 0.7695
```


[9]
This record from Alexandria describes a relaxed structure of La7In2Os2. The functional is PBE-GGA.

- ΔE_f (eV/atom) = -0.23

Geometry as CIF:
```
data_La7In2Os2
_chemical_formula_sum 'La14 In4 Os4'
_cell_length_a 8.5271
_cell_length_b 11.5610
_cell_length_c 7.3010
_cell_angle_alpha 90.00
_cell_angle_beta 90.00
_cell_angle_gamma 90.00
_space_group_name_H-M_alt 'C m m m'
_space_group_IT_number 65
_space_group_name_Hall '-C 2 2'
loop_
_atom_site_label
_atom_site_type_symbol
_atom_site_fract_x
_atom_site_fract_y
_atom_site_fract_z
La1 La 0.0000 0.0000 0.0000
La2 La 0.0000 0.5000 0.2446
La3 La 0.2500 0.2500 0.2487
In1 In 0.1678 0.0000 0.5000
Os1 Os 0.0000 0.2924 0.0000
```


[10]
This record from Alexandria describes a relaxed structure of PmNd3Y3. The functional is PBE-GGA.

- ΔE_f (eV/atom) = 0.16
- energy above the most stable polymorph in this dataset (eV/atom) = 0.000

Geometry as CIF:
```
data_PmNd3Y3
_chemical_formula_sum 'Pm6 Nd18 Y18'
_cell_length_a 6.2789
_cell_length_b 6.2789
_cell_length_c 43.7951
_cell_angle_alpha 90.00
_cell_angle_beta 90.00
_cell_angle_gamma 120.00
_space_group_name_H-M_alt 'R -3'
_space_group_IT_number 148
_space_group_name_Hall '-R 3'
loop_
_atom_site_label
_atom_site_type_symbol
_atom_site_fract_x
_atom_site_fract_y
_atom_site_fract_z
Pm1 Pm 0.0000 0.0000 0.1667
Nd1 Nd 0.0003 0.3313 0.6314
Y1 Y 0.0002 0.3332 0.4344
```


[11]
This record from Alexandria describes a relaxed structure of Li2IrCl. The functional is PBE-GGA.

- formation energy from raw total energies (meV per atom) = 71
- energy above the most stable polymorph in this dataset (eV/atom) = 0.654

Geometry as CIF:
```
data_Li2IrCl
_chemical_formula_sum 'Li4 Ir2 Cl2'
_cell_length_a 3.9170
_cell_length_b 3.9170
_cell_length_c 7.5510
_cell_angle_alpha 90.00
_cell_angle_beta 90.00
_cell_angle_gamma 90.00
_space_group_name_H-M_alt 'I 4/m m m'
_space_group_IT_number 139
_space_group_name_Hall '-I 4 2'
loop_
_atom_site_label
_atom_site_type_symbol
_atom_site_fract_x
_atom_site_fract_y
_atom_site_fract_z
Li1 Li 0.0000 0.5000 0.2500
Ir1 Ir 0.0000 0.0000 0.0000
Cl1 Cl 0.0000 0.0000 0.5000
```


[12]
This record from Alexandria describes a relaxed structure of LuPuZnPb. The functional is PBE-GGA.

- ΔE_f (eV/atom) = -0.18

Geometry as CIF:
```
data_LuPuZnPb
_chemical_formula_sum 'Lu4 Pu4 Zn4 Pb4'
_cell_length_a 7.4006
_cell_length_b 7.4006
_cell_length_c 7.4006
_cell_angle_alpha 90.00
_cell_angle_beta 90.00
_cell_angle_gamma 90.00
_space_group_name_H-M_alt 'F -4 3 m'
_space_group_IT_number 216
_space_group_name_Hall 'F -4 2 3'
loop_
_atom_site_label
_atom_site_type_symbol
_atom_site_fract_x
_atom_site_fract_y
_atom_site_fract_z
Lu1 Lu 0.0000 0.0000 0.0000
Pu1 Pu 0.0000 0.0000 0.5000
Zn1 Zn 0.2500 0.2500 0.2500
Pb1 Pb 0.2500 0.2500 0.7500
```


Copy entry 2 word for word.
This record from Alexandria describes a relaxed structure of MgCdCu. The functional is PBE-GGA.

- ΔE_f (eV/atom) = -0.01
- energy above the most stable polymorph in this dataset (eV/atom) = 0.051

Geometry as CIF:
```
data_MgCdCu
_chemical_formula_sum 'Mg1 Cd1 Cu1'
_cell_length_a 4.5774
_cell_length_b 4.5774
_cell_length_c 3.0153
_cell_angle_alpha 90.00
_cell_angle_beta 90.00
_cell_angle_gamma 120.00
_space_group_name_H-M_alt 'P 3 m 1'
_space_group_IT_number 156
loop_
_space_group_symop_operation_xyz
'x,y,z'
'-y,x-y,z'
'-x+y,-x,z'
'-y,-x,z'
'-x+y,y,z'
'x,x-y,z'
loop_
_atom_site_label
_atom_site_type_symbol
_atom_site_fract_x
_atom_site_fract_y
_atom_site_fract_z
Mg1 Mg 0.0000 0.0000 0.0000
Cd1 Cd 0.6667 0.3333 0.4970
Cu1 Cu 0.3333 0.6667 0.5090
```